(1)
Re2Ru2Pt | GGA-PBE | relaxed

Values from the calculation:
Energy of formation from the pure elements, eV/atom: 0.1594

Cell: 7.444 7.444 2.760 Å, 90.00 90.00 90.00°
Space group P4/mbm (No. 127)
One atom of each set of equivalent atoms:
Re1 0.167 0.333 0.000
Ru1 0.127 0.627 0.500
Pt1 0.000 0.000 0.500

(2)
ReRuPt | GGA-PBE | relaxed

Values from the calculation:
Energy of formation from the pure elements, eV/atom: -0.0811

Cell: 3.884 11.750 3.891 Å, 90.00 90.00 90.00°
Space group Cmcm (No. 63)
One atom of each set of equivalent atoms:
Re1 0.000 0.074 0.250
Ru1 0.000 0.423 0.250
Pt1 0.000 0.252 0.750

(3)
ReRuPt2 | GGA-PBE | relaxed

Values from the calculation:
Energy of formation from the pure elements, eV/atom: -0.1039

Cell: 2.761 2.761 7.893 Å, 90.00 90.00 90.00°
Space group P4mm (No. 99)
One atom of each set of equivalent atoms:
Re1 0.000 0.000 0.000
Ru1 0.500 0.500 0.221
Pt1 0.000 0.000 0.480
Pt2 0.500 0.500 0.748